No. 1
The following is a DFT calculation (PBE) of an optimized crystal structure of AsBrCl.

Output
Energy above the most stable polymorph in this dataset = 0.517 eV per atom
Uncorrected energy = -16.2 eV for the cell shown
Symmetry = Imm2 (44)
Formation energy without anion corrections = 0.089 eV per formula unit
ρ = 3139 kg/m³

```
AsBrCl
1.0
2.852 0.000 0.000
0.000 7.798 0.000
0.000 0.000 9.051
As Br Cl
2 2 2
Direct
0.000 0.000 0.000 As
0.500 0.500 0.500 As
0.000 0.000 0.656 Br
0.500 0.500 0.156 Br
0.000 0.000 0.238 Cl
0.500 0.500 0.738 Cl
```

=====

No. 2
The following is a DFT calculation (PBE) of an optimized crystal structure of Pm2Sm6Y.

Output
Energy relative to the elements = 0.086 eV per atom
Energy above the most stable polymorph in this dataset = 0.032 eV per atom
Uncorrected energy = -87.0 eV for the cell shown
Symmetry = C2/c (15)
ρ = 7029 kg/m³

```
Pm2Sm6Y
1.0
8.297 -5.895 0.000
8.297 5.895 0.000
-0.667 0.000 6.187
Pm Sm Y
4 12 2
Direct
0.068 0.266 0.084 Pm
0.266 0.068 0.584 Pm
0.734 0.932 0.416 Pm
0.932 0.734 0.916 Pm
0.093 0.813 0.486 Sm
0.150 0.425 0.650 Sm
0.187 0.907 0.014 Sm
0.240 0.524 0.180 Sm
0.425 0.150 0.150 Sm
0.476 0.760 0.320 Sm
0.524 0.240 0.680 Sm
0.575 0.850 0.850 Sm
0.760 0.476 0.820 Sm
0.813 0.093 0.986 Sm
0.850 0.575 0.350 Sm
0.907 0.187 0.514 Sm
0.402 0.598 0.750 Y
0.598 0.402 0.250 Y
```

=====

No. 3
The following is a DFT calculation (PBE) of an optimized crystal structure of LiMg2Al2.

Output
Energy relative to the elements = 0.038 eV per atom
Energy above the most stable polymorph in this dataset = 0.030 eV per atom
Uncorrected energy = -24.8 eV for the cell shown
Symmetry = P4/mbm (127)
ρ = 1748 kg/m³

```
LiMg2Al2
1.0
7.910 0.000 0.000
0.000 7.910 0.000
0.000 0.000 3.326
Li Mg Al
2 4 4
Direct
0.000 0.000 0.000 Li
0.500 0.500 0.000 Li
0.179 0.321 0.500 Mg
0.321 0.821 0.500 Mg
0.679 0.179 0.500 Mg
0.821 0.679 0.500 Mg
0.119 0.619 0.000 Al
0.381 0.119 0.000 Al
0.619 0.881 0.000 Al
0.881 0.381 0.000 Al
```

=====

No. 4
The following is a DFT calculation (PBE) of an optimized crystal structure of Ba2ZrPt3O12.

Output
Uncorrected energy = -114.6 eV for the cell shown
Symmetry = R-3m (166)
Formation energy without anion corrections = -24.631 eV per formula unit
ρ = 7050 kg/m³

```
Ba2ZrPt3O12
1.0
3.601 2.079 5.994
-3.601 2.079 5.994
0.000 -4.158 5.994
Ba Zr Pt O
2 1 3 12
Direct
0.119 0.119 0.119 Ba
0.881 0.881 0.881 Ba
0.500 0.500 0.500 Zr
0.000 0.500 0.500 Pt
0.500 0.000 0.500 Pt
0.500 0.500 0.000 Pt
0.146 0.591 0.591 O
0.175 0.175 0.606 O
0.175 0.606 0.175 O
0.394 0.825 0.825 O
0.409 0.409 0.854 O
0.409 0.854 0.409 O
0.591 0.146 0.591 O
0.591 0.591 0.146 O
0.606 0.175 0.175 O
0.825 0.394 0.825 O
0.825 0.825 0.394 O
0.854 0.409 0.409 O
```

=====

No. 5
The following is a DFT calculation (PBE) of an optimized crystal structure of ZnCdRe2.

Output
Energy relative to the elements = 0.448 eV per atom
Energy above the most stable polymorph in this dataset = 0.285 eV per atom
Uncorrected energy = -50.6 eV for the cell shown
Symmetry = Cm (8)
ρ = 14174 kg/m³

```
ZnCdRe2
1.0
9.017 0.000 0.000
0.000 2.789 0.000
-0.619 0.000 5.127
Zn Cd Re
2 2 4
Direct
0.000 0.000 0.000 Zn
0.500 0.500 0.000 Zn
0.244 0.000 0.777 Cd
0.744 0.500 0.777 Cd
0.244 0.500 0.280 Re
0.492 0.000 0.463 Re
0.744 0.000 0.280 Re
0.992 0.500 0.463 Re
```

=====

No. 6
The following is a DFT calculation (PBE) of an optimized crystal structure of KPtN2F.

Output
Energy above the most stable polymorph in this dataset = 2.146 eV per atom
Uncorrected energy = -15.1 eV for the cell shown
Symmetry = P4/mmm (123)
Formation energy without anion corrections = 10.534 eV per formula unit
ρ = 3881 kg/m³

```
KPtN2F
1.0
5.096 0.000 0.000
0.000 5.096 0.000
0.000 0.000 4.633
K Pt N F
1 1 2 1
Direct
0.000 0.000 0.000 K
0.500 0.500 0.500 Pt
0.000 0.500 0.000 N
0.500 0.000 0.000 N
0.000 0.000 0.500 F
```

=====

No. 7
The following is a DFT calculation (PBE) of an optimized crystal structure of CuIrBr2.

Output
Energy above the most stable polymorph in this dataset = 0.451 eV per atom
Uncorrected energy = -27.0 eV for the cell shown
Symmetry = Cmmm (65)
Formation energy without anion corrections = 2.812 eV per formula unit
ρ = 8557 kg/m³

```
CuIrBr2
1.0
3.289 0.000 0.000
0.000 6.256 0.000
0.000 0.000 7.838
Cu Ir Br
2 2 4
Direct
0.000 0.000 0.000 Cu
0.500 0.500 0.000 Cu
0.000 0.000 0.500 Ir
0.500 0.500 0.500 Ir
0.000 0.500 0.248 Br
0.000 0.500 0.752 Br
0.500 0.000 0.248 Br
0.500 0.000 0.752 Br
```

=====

No. 8
The following is a DFT calculation (PBE) of an optimized crystal structure of SrCaGaN2.

Output
Uncorrected energy = -50.5 eV for the cell shown
Symmetry = P2/c (13)
Formation energy without anion corrections = -1.909 eV per formula unit
ρ = 3534 kg/m³

```
SrCaGaN2
1.0
5.766 0.000 0.000
0.000 5.410 0.000
-0.001 0.000 6.792
Sr Ca Ga N
2 2 2 4
Direct
0.000 0.001 0.250 Sr
0.000 0.999 0.750 Sr
0.500 0.500 0.250 Ca
0.500 0.500 0.750 Ca
0.500 0.000 0.000 Ga
0.500 0.000 0.500 Ga
0.280 0.244 0.000 N
0.280 0.756 0.500 N
0.720 0.244 0.500 N
0.720 0.756 0.000 N
```

=====

No. 9
The following is a DFT calculation (PBE) of an optimized crystal structure of CeEuIrPt.

Output
Energy relative to the elements = -0.725 eV per atom
Uncorrected energy = -136.0 eV for the cell shown
Symmetry = F-43m (216)
ρ = 12787 kg/m³

```
CeEuIrPt
1.0
7.067 0.000 0.000
0.000 7.067 0.000
0.000 0.000 7.067
Ce Eu Ir Pt
4 4 4 4
Direct
0.000 0.000 0.000 Ce
0.000 0.500 0.500 Ce
0.500 0.000 0.500 Ce
0.500 0.500 0.000 Ce
0.000 0.000 0.500 Eu
0.000 0.500 0.000 Eu
0.500 0.000 0.000 Eu
0.500 0.500 0.500 Eu
0.250 0.250 0.250 Ir
0.250 0.750 0.750 Ir
0.750 0.250 0.750 Ir
0.750 0.750 0.250 Ir
0.250 0.250 0.750 Pt
0.250 0.750 0.250 Pt
0.750 0.250 0.250 Pt
0.750 0.750 0.750 Pt
```

=====

No. 10
The following is a DFT calculation (PBE) of an optimized crystal structure of NdThAl4.

Output
Energy relative to the elements = -0.452 eV per atom
Energy above the most stable polymorph in this dataset = 0.000 eV per atom
Uncorrected energy = -29.9 eV for the cell shown
Symmetry = F-43m (216)
ρ = 6163 kg/m³

```
NdThAl4
1.0
0.000 4.025 4.025
4.025 0.000 4.025
4.025 4.025 0.000
Nd Th Al
1 1 4
Direct
0.000 0.000 0.000 Nd
0.250 0.250 0.250 Th
0.126 0.625 0.625 Al
0.625 0.126 0.625 Al
0.625 0.625 0.126 Al
0.625 0.625 0.625 Al
```

=====

No. 11
The following is a DFT calculation (PBE) of an optimized crystal structure of AcGa2Bi.

Output
Energy relative to the elements = -0.278 eV per atom
Energy above the most stable polymorph in this dataset = 0.161 eV per atom
Uncorrected energy = -15.2 eV for the cell shown
Symmetry = P4/mmm (123)
ρ = 8722 kg/m³

```
AcGa2Bi
1.0
3.938 0.000 0.000
0.000 3.938 0.000
0.000 0.000 7.066
Ac Ga Bi
1 2 1
Direct
0.000 0.000 0.000 Ac
0.500 0.500 0.294 Ga
0.500 0.500 0.706 Ga
0.000 0.000 0.500 Bi
```

=====

No. 12
The following is a DFT calculation (PBE) of an optimized crystal structure of RbYNb2.

Output
Energy relative to the elements = 1.522 eV per atom
Energy above the most stable polymorph in this dataset = 0.000 eV per atom
Uncorrected energy = -85.9 eV for the cell shown
Symmetry = I-42d (122)
ρ = 4930 kg/m³

```
RbYNb2
1.0
4.656 0.000 0.000
0.000 4.656 0.000
0.000 0.000 22.385
Rb Y Nb
4 4 8
Direct
0.000 0.000 0.000 Rb
0.000 0.500 0.250 Rb
0.500 0.000 0.750 Rb
0.500 0.500 0.500 Rb
0.000 0.000 0.500 Y
0.000 0.500 0.750 Y
0.500 0.000 0.250 Y
0.500 0.500 0.000 Y
0.115 0.750 0.625 Nb
0.250 0.115 0.375 Nb
0.250 0.385 0.875 Nb
0.385 0.750 0.125 Nb
0.615 0.250 0.125 Nb
0.750 0.615 0.875 Nb
0.750 0.885 0.375 Nb
0.885 0.250 0.625 Nb
```

=====

No. 13
The following is a DFT calculation (PBE) of an optimized crystal structure of Be2Ru4Br.

Output
Uncorrected energy = -72.7 eV for the cell shown
Symmetry = I4/mmm (139)
Formation energy without anion corrections = 9.890 eV per formula unit
ρ = 7327 kg/m³

```
Be2Ru4Br
1.0
4.499 0.000 0.000
0.000 4.499 0.000
0.000 0.000 11.246
Be Ru Br
4 8 2
Direct
0.000 0.000 0.097 Be
0.000 0.000 0.903 Be
0.500 0.500 0.403 Be
0.500 0.500 0.597 Be
0.000 0.000 0.288 Ru
0.000 0.000 0.712 Ru
0.000 0.500 0.000 Ru
0.000 0.500 0.500 Ru
0.500 0.000 0.000 Ru
0.500 0.000 0.500 Ru
0.500 0.500 0.212 Ru
0.500 0.500 0.788 Ru
0.000 0.000 0.500 Br
0.500 0.500 0.000 Br
```

=====

No. 14
The following is a DFT calculation (PBE) of an optimized crystal structure of TaSe.

Output
Uncorrected energy = -115.2 eV for the cell shown
Symmetry = Fd-3m (227)
Formation energy without anion corrections = 0.938 eV per formula unit
ρ = 11624 kg/m³

```
TaSe
1.0
6.672 0.000 0.000
0.000 6.672 0.000
0.000 0.000 6.672
Ta Se
8 8
Direct
0.125 0.125 0.125 Ta
0.125 0.625 0.625 Ta
0.375 0.375 0.875 Ta
0.375 0.875 0.375 Ta
0.625 0.125 0.625 Ta
0.625 0.625 0.125 Ta
0.875 0.375 0.375 Ta
0.875 0.875 0.875 Ta
0.125 0.125 0.625 Se
0.125 0.625 0.125 Se
0.375 0.375 0.375 Se
0.375 0.875 0.875 Se
0.625 0.125 0.125 Se
0.625 0.625 0.625 Se
0.875 0.375 0.875 Se
0.875 0.875 0.375 Se
```

=====

No. 15
The following is a DFT calculation (PBE) of an optimized crystal structure of Sm3ErAl4.

Output
Energy relative to the elements = -0.380 eV per atom
Uncorrected energy = -36.7 eV for the cell shown
Symmetry = P4/mmm (123)
ρ = 6196 kg/m³

```
Sm3ErAl4
1.0
3.647 0.000 0.000
0.000 3.647 0.000
0.000 0.000 14.634
Sm Er Al
3 1 4
Direct
0.000 0.000 0.000 Sm
0.000 0.000 0.255 Sm
0.000 0.000 0.745 Sm
0.000 0.000 0.500 Er
0.500 0.500 0.127 Al
0.500 0.500 0.384 Al
0.500 0.500 0.616 Al
0.500 0.500 0.873 Al
```

=====

No. 16
The following is a DFT calculation (PBE) of an optimized crystal structure of BaLa2S4.

Output
Energy above the most stable polymorph in this dataset = 0.032 eV per atom
Uncorrected energy = -86.7 eV for the cell shown
Symmetry = I-42d (122)
Formation energy without anion corrections = -15.075 eV per formula unit
ρ = 4996 kg/m³

```
BaLa2S4
1.0
-4.494 4.494 4.472
4.494 -4.494 4.472
4.494 4.494 -4.472
Ba La S
2 4 8
Direct
0.000 0.000 0.000 Ba
0.750 0.250 0.500 Ba
0.251 0.625 0.126 La
0.375 0.501 0.626 La
0.499 0.125 0.874 La
0.875 0.749 0.374 La
0.141 0.733 0.746 S
0.145 0.237 0.754 S
0.267 0.013 0.408 S
0.483 0.391 0.246 S
0.605 0.859 0.592 S
0.609 0.855 0.092 S
0.763 0.517 0.908 S
0.987 0.395 0.254 S
```

=====

No. 17
The following is a DFT calculation (PBE) of an optimized crystal structure of Li2MgHg.

Output
Energy relative to the elements = -0.255 eV per atom
Energy above the most stable polymorph in this dataset = 0.019 eV per atom
Uncorrected energy = -13.5 eV for the cell shown
Symmetry = Immm (71)
ρ = 5340 kg/m³

```
Li2MgHg
1.0
4.221 0.000 0.000
0.000 4.319 0.000
0.000 0.000 8.145
Li Mg Hg
4 2 2
Direct
0.000 0.000 0.249 Li
0.000 0.000 0.751 Li
0.500 0.500 0.251 Li
0.500 0.500 0.749 Li
0.000 0.500 0.000 Mg
0.500 0.000 0.500 Mg
0.000 0.500 0.500 Hg
0.500 0.000 0.000 Hg
```

=====

No. 18
The following is a DFT calculation (PBE) of an optimized crystal structure of AgP3.

Output
Energy relative to the elements = 0.807 eV per atom
Energy above the most stable polymorph in this dataset = 0.623 eV per atom
Uncorrected energy = -31.7 eV for the cell shown
Symmetry = Pm-3n (223)
ρ = 5085 kg/m³

```
AgP3
1.0
5.080 0.000 0.000
0.000 5.080 0.000
0.000 0.000 5.080
Ag P
2 6
Direct
0.000 0.000 0.000 Ag
0.500 0.500 0.500 Ag
0.000 0.250 0.500 P
0.000 0.750 0.500 P
0.250 0.500 0.000 P
0.500 0.000 0.250 P
0.500 0.000 0.750 P
0.750 0.500 0.000 P
```

=====

No. 19
The following is a DFT calculation (PBE) of an optimized crystal structure of PuZnSb2.

Output
Energy above the most stable polymorph in this dataset = 0.000 eV per atom
Uncorrected energy = -50.9 eV for the cell shown
Symmetry = P4/nmm (129)
Formation energy without anion corrections = -1.593 eV per formula unit
ρ = 9525 kg/m³

```
PuZnSb2
1.0
4.387 0.000 0.000
0.000 4.387 0.000
0.000 0.000 10.017
Pu Zn Sb
2 2 4
Direct
0.250 0.250 0.240 Pu
0.750 0.750 0.760 Pu
0.250 0.750 0.500 Zn
0.750 0.250 0.500 Zn
0.250 0.250 0.679 Sb
0.250 0.750 0.000 Sb
0.750 0.250 0.000 Sb
0.750 0.750 0.321 Sb
```

=====

No. 20
The following is a DFT calculation (PBE) of an optimized crystal structure of Ti3PtC.

Output
Energy relative to the elements = -0.312 eV per atom
Energy above the most stable polymorph in this dataset = 0.513 eV per atom
Uncorrected energy = -81.0 eV for the cell shown
Symmetry = C2/m (12)
ρ = 6807 kg/m³

```
Ti3PtC
1.0
7.191 -1.718 0.000
7.191 1.718 0.000
-2.516 0.000 6.923
Ti Pt C
6 2 2
Direct
0.020 0.020 0.213 Ti
0.185 0.185 0.090 Ti
0.331 0.331 0.489 Ti
0.669 0.669 0.511 Ti
0.815 0.815 0.910 Ti
0.980 0.980 0.787 Ti
0.383 0.383 0.180 Pt
0.617 0.617 0.820 Pt
0.173 0.173 0.358 C
0.827 0.827 0.642 C
```